Entry 1:
A plane-wave DFT calculation with PBE was carried out for a relaxed structure of TaSb2Cl.

Cell lengths 5.4111, 5.4111, 7.9996 Å; angles 64.75, 64.75, 35.70 degrees
Sites, in units of the cell vectors:
1 Sb 0.7977 0.7977 0.6347
2 Ta 0.5257 0.5257 0.6071
3 Sb 0.0188 0.0188 0.9063
4 Cl 0.1578 0.1578 0.3519

symmetry: Cm
volume: 30.55 A^3/atom
energy above the most stable polymorph in this dataset: 0.0000 eV/atom

---

Entry 2:
A plane-wave DFT calculation with PBE was carried out for a relaxed structure of ReSeN3.

Cell lengths 3.9265, 3.9265, 3.9265 Å; angles 90.00, 90.00, 90.00 degrees
Sites, in units of the cell vectors:
1 Se 0.5000 0.5000 0.5000
2 N 0.5000 0.0000 0.0000
3 N 0.0000 0.0000 0.5000
4 Re 0.0000 0.0000 0.0000
5 N 0.0000 0.5000 0.0000

symmetry: Pm-3m
volume: 12.11 A^3/atom
raw total energy: -7.0019 eV per atom

---

Entry 3:
A plane-wave DFT calculation with PBE was carried out for a relaxed structure of CeNbS2.

Cell lengths 4.0037, 4.0037, 5.9695 Å; angles 70.41, 70.41, 60.00 degrees
Sites, in units of the cell vectors:
1 Nb 0.5000 0.5000 0.5000
2 S 0.2385 0.2385 0.2844
3 Ce 0.0000 0.0000 0.0000
4 S 0.7615 0.7615 0.7156

symmetry: R-3m
volume: 19.10 A^3/atom
energy above the most stable polymorph in this dataset: 0.0000 eV/atom

---

Entry 4:
A plane-wave DFT calculation with PBE was carried out for a relaxed structure of MgGe2BRu.

Cell lengths 4.7488, 4.7160, 4.7488 Å; angles 90.00, 90.00, 90.00 degrees
Sites, in units of the cell vectors:
1 Mg 0.0000 0.0000 0.0000
2 Ge 0.5000 0.0000 0.0000
3 Ru 0.0000 0.5000 0.0000
4 B 0.5000 0.5000 0.5000
5 Ge 0.0000 0.0000 0.5000

symmetry: P4/mmm
formation energy from the elements: 1.97 eV/atom
volume: 21.27 A^3/atom

---

Entry 5:
A plane-wave DFT calculation with PBE was carried out for a relaxed structure of BTeCl2.

Cell lengths 6.5084, 6.5084, 6.5054 Å; angles 59.98, 59.98, 90.00 degrees
Sites, in units of the cell vectors:
1 B 0.5000 0.5000 0.0000
2 B 0.2500 0.7500 0.5000
3 Cl 0.3750 0.6244 0.7500
4 Cl 0.3744 0.6250 0.2500
5 Te 0.0000 0.0000 0.0000
6 Te 0.7500 0.2500 0.5000
7 Cl 0.8750 0.6256 0.7500
8 Cl 0.3756 0.1250 0.2500

symmetry: I-42d
volume: 24.35 A^3/atom
energy above the most stable polymorph in this dataset: 0.3574 eV/atom

---

Entry 6:
A plane-wave DFT calculation with PBE was carried out for a relaxed structure of CrIn2P.

Cell lengths 3.7053, 4.1491, 5.5042 Å; angles 67.91, 90.00, 90.00 degrees
Sites, in units of the cell vectors:
1 Cr 0.5000 0.5583 0.7589
2 In 0.0000 0.9709 0.9338
3 In 0.5000 0.2769 0.3215
4 P 0.0000 0.6940 0.4858

symmetry: Amm2
formation energy from the elements: 0.10 eV/atom
volume: 19.60 A^3/atom

---

Entry 7:
A plane-wave DFT calculation with PBE was carried out for a relaxed structure of GaOsS2.

Cell lengths 7.8169, 7.8169, 7.8169 Å; angles 26.24, 26.24, 26.24 degrees
Sites, in units of the cell vectors:
1 Os 0.5000 0.5000 0.5000
2 Ga 0.0000 0.0000 0.0000
3 S 0.1143 0.1143 0.1143
4 S 0.8857 0.8857 0.8857

symmetry: R-3m
volume: 20.56 A^3/atom
raw total energy: -5.6042 eV per atom

---

Entry 8:
A plane-wave DFT calculation with PBE was carried out for a relaxed structure of TcIrBr.

Cell lengths 6.5382, 6.5382, 6.5382 Å; angles 154.08, 154.08, 36.98 degrees
Sites, in units of the cell vectors:
1 Tc 0.6727 0.6727 0.0000
2 Ir 0.3014 0.3014 0.0000
3 Br 0.0259 0.0259 0.0000

symmetry: I4mm
volume: 17.77 A^3/atom
energy above the most stable polymorph in this dataset: 0.0000 eV/atom